# 1
Below is an optimized crystal structure of GaPb12Au7, with properties calculated at the GGA-PBE level.

Unit cell a=6.0483 b=9.0634 c=10.4597 alpha=72.60 beta=76.49 gamma=83.84
Fractional coordinates of all 20 atoms:
Ga (0.0000, 0.0000, 0.0000)
Pb (0.0272, 0.4500, 0.1844)
Pb (0.0783, 0.3103, 0.5176)
Pb (0.1784, 0.0406, 0.2921)
Pb (0.3824, 0.8134, 0.5699)
Pb (0.3903, 0.7044, 0.9183)
Pb (0.4855, 0.3811, 0.6926)
Pb (0.5145, 0.6189, 0.3074)
Pb (0.6097, 0.2956, 0.0817)
Pb (0.6176, 0.1866, 0.4301)
Pb (0.8216, 0.9594, 0.7079)
Pb (0.9217, 0.6897, 0.4824)
Pb (0.9728, 0.5500, 0.8156)
Au (0.1327, 0.7659, 0.1850)
Au (0.1885, 0.2655, 0.9857)
Au (0.3050, 0.0501, 0.7411)
Au (0.5000, 0.0000, 0.0000)
Au (0.6950, 0.9499, 0.2589)
Au (0.8115, 0.7345, 0.0143)
Au (0.8673, 0.2341, 0.8150)

E = -3.57 eV/atom
E_form = -0.04 eV/atom

---

# 2
Below is an optimized crystal structure of K3I2Cl, with properties calculated at the GGA-PBE level.

Unit cell a=10.9086 b=10.9086 c=10.9086 alpha=153.88 beta=153.88 gamma=37.28
Fractional coordinates of all 6 atoms:
K (0.0000, 0.0000, 0.0000)
K (0.3445, 0.3445, 0.0000)
K (0.6555, 0.6555, 0.0000)
I (0.1676, 0.1676, 0.0000)
I (0.8324, 0.8324, 0.0000)
Cl (0.5000, 0.5000, 0.0000)

E = -2.99 eV/atom

---

# 3
Below is an optimized crystal structure of Rb3Sr3TcO8, with properties calculated at the GGA-PBE level.

Unit cell a=7.7748 b=7.7748 c=7.7748 alpha=55.54 beta=55.54 gamma=55.54
Fractional coordinates of all 15 atoms:
Rb (0.0000, 0.5000, 0.5000)
Rb (0.5000, 0.0000, 0.5000)
Rb (0.5000, 0.5000, 0.0000)
Sr (0.0000, 0.0000, 0.5000)
Sr (0.0000, 0.5000, 0.0000)
Sr (0.5000, 0.0000, 0.0000)
Tc (0.5000, 0.5000, 0.5000)
O (0.2296, 0.2296, 0.2296)
O (0.3007, 0.6826, 0.6826)
O (0.3174, 0.3174, 0.6993)
O (0.3174, 0.6993, 0.3174)
O (0.6826, 0.3007, 0.6826)
O (0.6826, 0.6826, 0.3007)
O (0.6993, 0.3174, 0.3174)
O (0.7704, 0.7704, 0.7704)

E = -5.82 eV/atom

---

# 4
Below is an optimized crystal structure of Ac4La3Au4, with properties calculated at the GGA-PBE level.

Unit cell a=10.5091 b=10.5091 c=10.5091 alpha=157.89 beta=123.29 gamma=61.62
Fractional coordinates of all 11 atoms:
Ac (0.0270, 0.8394, 0.1876)
Ac (0.3483, 0.1606, 0.1876)
Ac (0.6517, 0.8394, 0.8124)
Ac (0.9730, 0.1606, 0.8124)
La (0.0000, 0.5000, 0.5000)
La (0.3993, 0.3993, 0.0000)
La (0.6007, 0.6007, 0.0000)
Au (0.2586, 0.7586, 0.5000)
Au (0.3235, 0.0000, 0.3235)
Au (0.6765, 0.0000, 0.6765)
Au (0.7414, 0.2414, 0.5000)

E = -4.53 eV/atom
E_form = -0.50 eV/atom

---

# 5
Below is an optimized crystal structure of Sm2Dy3YP6, with properties calculated at the GGA-PBE level.

Unit cell a=7.0007 b=7.0007 c=7.0016 alpha=99.59 beta=99.59 gamma=119.99
Fractional coordinates of all 12 atoms:
Sm (0.1664, 0.8336, 0.0000)
Sm (0.8336, 0.1664, 0.0000)
Dy (0.0000, 0.0000, 0.5000)
Dy (0.3327, 0.6673, 0.5000)
Dy (0.6673, 0.3327, 0.5000)
Y (0.5000, 0.5000, 0.0000)
P (0.0848, 0.4153, 0.7459)
P (0.2545, 0.2545, 0.2547)
P (0.4153, 0.0848, 0.7459)
P (0.5847, 0.9152, 0.2541)
P (0.7455, 0.7455, 0.7453)
P (0.9152, 0.5847, 0.2541)

E = -6.78 eV/atom
E_form = -1.60 eV/atom

---

# 6
Below is an optimized crystal structure of Ca2LaCl, with properties calculated at the GGA-PBE level.

Unit cell a=7.3032 b=7.3032 c=7.3032 alpha=101.28 beta=101.28 gamma=127.51
Fractional coordinates of all 8 atoms:
Ca (0.0341, 0.6250, 0.9091)
Ca (0.3750, 0.2841, 0.4091)
Ca (0.7159, 0.1250, 0.0909)
Ca (0.8750, 0.9659, 0.5909)
La (0.2500, 0.7500, 0.5000)
La (0.5000, 0.5000, 0.0000)
Cl (0.0000, 0.0000, 0.0000)
Cl (0.7500, 0.2500, 0.5000)

E = -3.20 eV/atom

---

These records have density values of 12.3, 2.7, 4.2, 9.7, 6.3, 3.0 g/cm³, in the order they appear.